KSr2Ni: relaxed, PBEsol.

Computed properties:
Energy relative to the lowest polymorph listed for this composition, meV/atom: 0
DOS(E_F), states/eV per cell: 3.63
Theoretical density, g/cm3: 2.77
ΔH_f (0 K), kJ/mol of formula units: 93

Cell lengths 4.0182, 4.3264, 9.6513 Å; angles 102.91, 90.00, 90.00 degrees
With the nearest neighbours (Å) after each atom.
Element x y z (fractional)
K  0.0000  0.2125  0.5499  2 Ni 3.66, 2 Sr 3.89-3.90, 2 K 4.02
Ni  0.5000  0.3759  0.8756  5 Sr 2.87-2.96
Sr  0.0000  0.8847  0.8942  4 Ni 2.96
Sr  0.5000  0.5268  0.1803  1 Ni 2.87